# GePd (PBE-GGA, relaxed)
data_GePd
_chemical_formula_sum 'Ge6 Pd6'
_space_group_name_H-M_alt 'P m m n'
_space_group_IT_number 59
_cell_length_a 4.469
_cell_length_b 13.042
_cell_length_c 4.254
_cell_angle_alpha 90.00
_cell_angle_beta 90.00
_cell_angle_gamma 90.00
loop_
_space_group_symop_operation_xyz
'x,y,z'
'-x,-y,-z'
'-x+1/2,-y+1/2,z'
'x+1/2,y+1/2,-z'
'x+1/2,-y,-z'
'-x+1/2,y,z'
'-x,y+1/2,-z'
'x,-y+1/2,z'
loop_
_atom_site_label
_atom_site_type_symbol
_atom_site_fract_x
_atom_site_fract_y
_atom_site_fract_z
Ge1 Ge 0.250 0.127 0.107
Ge2 Ge 0.250 0.750 0.205
Pd1 Pd 0.250 0.250 0.541
Pd2 Pd 0.250 0.567 0.066
# energy of formation: -0.116 eV/atom
# energy: -60.3 eV per cell